The following is a PBE calculation of Cr2GaSe after structural relaxation, from Alexandria via LeMat-Bulk.

Cell and atoms, written as extended XYZ:
```
8
Lattice="-3.4709 3.4709 2.9919 3.4709 -3.4709 2.9919 3.4709 3.4709 -2.9919" Properties=species:S:1:pos:R:3 pbc="T T T"
Cr 5.2064 1.6606 -0.7480
Cr 1.6606 1.7355 0.7480
Cr -1.7355 1.8103 2.2440
Cr 1.8103 1.7355 3.7399
Ga 3.4709 0.0000 1.4960
Ga 0.0000 0.0000 2.9919
Se 0.0000 0.0000 0.0000
Se 0.0000 3.4709 1.4960
```

Fermi-level density of states	0.527	states/eV/atom
total moment	13.97	Bohr magnetons per cell
calculated total energy	-6.07	eV/atom



The following is a PBE calculation of Hf2Al6Co after structural relaxation, from Alexandria via LeMat-Bulk.

Cell and atoms, written as extended XYZ:
```
9
Lattice="5.5103 0.0000 0.0000 -2.7551 4.7720 0.0000 0.0000 0.0000 5.6452" Properties=species:S:1:pos:R:3 pbc="T T T"
Hf 0.0000 3.1814 0.6866
Hf 2.7551 1.5907 4.9586
Al 0.0000 1.6291 3.9051
Al -1.3443 3.9575 3.9051
Al 1.4108 0.8145 1.7400
Al 1.3443 3.9575 3.9051
Al 4.0994 0.8145 1.7400
Al 2.7551 3.1429 1.7400
Co 0.0000 0.0000 0.0000
```

Fermi-level density of states	0.520	states/eV/atom
total moment	0.00	Bohr magnetons per cell
formation energy	-360	meV/atom
calculated total energy	-5.86	eV/atom



The following is a PBE calculation of Y6Te3AsIr2 after structural relaxation, from Alexandria via LeMat-Bulk.

Cell and atoms, written as extended XYZ:
```
12
Lattice="3.6227 -6.2824 0.0000 3.6227 6.2824 0.0000 -2.4462 0.0000 7.1657" Properties=species:S:1:pos:R:3 pbc="T T T"
Y -0.0544 2.1576 5.6516
Y 1.1399 0.0000 1.5090
Y -0.0544 -2.1576 5.6516
Y 4.8536 2.1576 1.5141
Y 3.6593 0.0000 5.6566
Y 4.8536 -2.1576 1.5141
Te -1.2231 0.0000 3.5828
Te 2.3996 2.0532 3.5828
Te 2.3996 -2.0532 3.5828
As 3.6227 0.0000 0.0000
Ir 3.6227 4.1872 0.0000
Ir 3.6227 -4.1872 0.0000
```

Fermi-level density of states	0.640	states/eV/atom
total moment	0.00	Bohr magnetons per cell
calculated total energy	-7.06	eV/atom



The following is a PBE calculation of Rb3Bi2Sb after structural relaxation, from Alexandria via LeMat-Bulk.

Cell and atoms, written as extended XYZ:
```
24
Lattice="8.9482 0.0000 0.0000 0.0000 11.1589 0.0000 -2.0322 0.0000 11.2070" Properties=species:S:1:pos:R:3 pbc="T T T"
Rb 0.2329 1.3475 5.0610
Rb -0.7832 4.2319 10.6645
Rb 1.9213 0.8047 1.2214
Rb 0.9052 4.7747 6.8249
Rb 1.7991 7.9869 3.9718
Rb 0.7830 8.7514 9.5753
Rb 6.1331 2.4075 1.6317
Rb 5.1170 3.1720 7.2352
Rb 6.0108 6.3842 4.3821
Rb 4.9948 10.3542 9.9856
Rb 7.6992 6.9270 0.5425
Rb 6.6831 9.8114 6.1460
Bi -0.8983 1.0763 8.7236
Bi 0.1178 4.5031 3.1201
Bi 3.8312 6.2596 1.2217
Bi 2.8151 10.4787 6.8252
Bi 4.1010 0.6802 4.3818
Bi 3.0849 4.8993 9.9853
Bi 6.7983 6.6558 8.0869
Bi 7.8143 10.0826 2.4834
Sb 1.9936 1.4528 8.7860
Sb 3.0097 4.1266 3.1825
Sb 3.9064 7.0323 8.0245
Sb 4.9225 9.7061 2.4210
```

Fermi-level density of states	0.595	states/eV/atom
total moment	0.00	Bohr magnetons per cell
calculated total energy	-2.76	eV/atom



The following is a PBE calculation of Y10Ho4Sc after structural relaxation, from Alexandria via LeMat-Bulk.

Cell and atoms, written as extended XYZ:
```
15
Lattice="-4.8872 4.8872 5.1276 4.8872 -4.8872 5.1276 4.8872 4.8872 -5.1276" Properties=species:S:1:pos:R:3 pbc="T T T"
Y 3.7989 -2.8168 3.4565
Y 7.7040 -1.0884 1.6710
Y 4.8872 0.0000 2.5638
Y 2.0705 1.0884 1.6710
Y -1.0884 2.0705 1.6710
Y 5.9756 2.8168 3.4565
Y 2.8168 3.7989 3.4565
Y 0.0000 4.8872 2.5638
Y -2.8168 5.9756 3.4565
Y 1.0884 7.7040 1.6710
Ho 5.5392 1.7240 0.0000
Ho 1.7240 4.2353 0.0000
Ho 3.1632 0.6519 5.1276
Ho -0.6519 3.1632 5.1276
Sc 0.0000 0.0000 5.1276
```

Fermi-level density of states	1.736	states/eV/atom
total moment	0.00	Bohr magnetons per cell
formation energy	384	meV/atom
calculated total energy	-5.57	eV/atom



The following is a PBE calculation of TbAl8Fe2 after structural relaxation, from Alexandria via LeMat-Bulk.

Cell and atoms, written as extended XYZ:
```
11
Lattice="4.0987 -5.1960 0.0000 4.0987 5.1960 0.0000 -1.0107 0.0000 4.4767" Properties=species:S:1:pos:R:3 pbc="T T T"
Tb 0.0000 0.0000 0.0000
Al 1.2139 1.3695 2.6540
Al 4.0987 2.2552 0.0000
Al 1.2139 -1.3695 2.6540
Al 2.9986 0.0000 1.0529
Al 4.1881 0.0000 3.4238
Al 5.9728 1.3695 1.8227
Al 4.0987 -2.2552 0.0000
Al 5.9728 -1.3695 1.8227
Fe 3.5934 2.1815 2.2383
Fe 3.5934 -2.1815 2.2383
```

Fermi-level density of states	0.475	states/eV/atom
total moment	0.00	Bohr magnetons per cell
formation energy	-194	meV/atom
calculated total energy	-4.88	eV/atom



What did the third record say?
The following is a PBE calculation of Y6Te3AsIr2 after structural relaxation, from Alexandria via LeMat-Bulk.

Cell and atoms, written as extended XYZ:
```
12
Lattice="3.6227 -6.2824 0.0000 3.6227 6.2824 0.0000 -2.4462 0.0000 7.1657" Properties=species:S:1:pos:R:3 pbc="T T T"
Y -0.0544 2.1576 5.6516
Y 1.1399 0.0000 1.5090
Y -0.0544 -2.1576 5.6516
Y 4.8536 2.1576 1.5141
Y 3.6593 0.0000 5.6566
Y 4.8536 -2.1576 1.5141
Te -1.2231 0.0000 3.5828
Te 2.3996 2.0532 3.5828
Te 2.3996 -2.0532 3.5828
As 3.6227 0.0000 0.0000
Ir 3.6227 4.1872 0.0000
Ir 3.6227 -4.1872 0.0000
```

Fermi-level density of states	0.640	states/eV/atom
total moment	0.00	Bohr magnetons per cell
calculated total energy	-7.06	eV/atom